# Rb2CuPtI6 PBE optimized geometry
data_Rb2CuPtI6
_cell_length_a 8.180
_cell_length_b 8.180
_cell_length_c 11.034
_cell_angle_alpha 90.00
_cell_angle_beta 90.00
_cell_angle_gamma 90.00
_symmetry_space_group_name_H-M 'I 4/m m m'
_symmetry_Int_Tables_number 139
_symmetry_space_group_name_Hall '-I 4 2'
loop_
_atom_site_label
_atom_site_type_symbol
_atom_site_fract_x
_atom_site_fract_y
_atom_site_fract_z
Rb1 Rb 0.000 0.500 0.250
Cu1 Cu 0.000 0.000 0.000
Pt1 Pt 0.000 0.000 0.500
I1 I 0.000 0.000 0.237
I2 I 0.236 0.236 0.500
# DOS at the Fermi energy = 3.2 states/eV/f.u.
# formation energy from raw total energies = -6.2 eV per formula unit
# total magnetization = 0.00 Bohr magnetons per cell
# distance to the lowest polymorph of the same formula = 0 meV per atom